# 1
Density functional theory data (PBE-GGA) for a relaxed structure of Na5Ge2O6.

The space group is C2/c (No. 15) and the conventional cell measures 10.138, 6.082 and 13.713 Å, with angles of 90.00, 92.30 and 90.00 degrees. The distinct sites, in fractional coordinates, are Na at (0.000, 0.038, 0.250), Na at (0.081, 0.262, 0.992), Na at (0.142, 0.487, 0.210), Ge at (0.215, 0.321, 0.408), O at (0.047, 0.369, 0.374), O at (0.176, 0.141, 0.687) and O at (0.237, 0.042, 0.472).

The density comes out at 2.80 g/cm3. The value obtained for the total energy is -5.060 eV per atom.

***

# 2
Density functional theory data (PBE-GGA) for a relaxed structure of Na3GeO3.

The space group is Cmce (No. 64) and the conventional cell measures 13.928, 8.836 and 8.373 Å, with angles of 90.00, 90.00 and 90.00 degrees. The distinct sites, in fractional coordinates, are Na at (0.000, 0.197, 0.132), Na at (0.175, 0.165, 0.879), Ge at (0.099, 0.000, 0.500), O at (0.000, 0.092, 0.381) and O at (0.158, 0.150, 0.596).

The density comes out at 2.44 g/cm3. The energy above the lowest structure with this stoichiometry comes out at 1.04 eV per formula unit. The value obtained for the total energy is -4.769 eV per atom.

***

# 3
Density functional theory data (PBE-GGA) for a relaxed structure of NaGe2O.

The space group is I-42d (No. 122) and the conventional cell measures 4.785, 4.785 and 14.286 Å, with angles of 90.00, 90.00 and 90.00 degrees. The distinct sites, in fractional coordinates, are Na at (0.000, 0.000, 0.000), Ge at (0.099, 0.250, 0.625) and O at (0.000, 0.000, 0.500).

The density comes out at 3.74 g/cm3. The value obtained for the total energy is -4.101 eV per atom.